This record from Alexandria via LeMat-Bulk describes crystalline NaHg2HF6 at its relaxed geometry. The functional is PBE-GGA.

a b c (Å): 5.906 3.923 12.440
angles (deg): 90.00 101.14 90.00
Fractional positions:
Na (0.000, 0.500, 0.500)
Na (0.500, 0.000, 0.000)
Hg (0.984, 0.249, 0.208)
Hg (0.516, 0.749, 0.292)
Hg (0.484, 0.251, 0.708)
Hg (0.016, 0.751, 0.792)
H (0.000, 0.500, 0.000)
H (0.500, 0.000, 0.500)
F (0.849, 0.270, 0.678)
F (0.861, 0.309, 0.015)
F (0.773, 0.278, 0.343)
F (0.727, 0.778, 0.157)
F (0.639, 0.809, 0.485)
F (0.651, 0.770, 0.822)
F (0.349, 0.230, 0.178)
F (0.361, 0.191, 0.515)
F (0.273, 0.222, 0.843)
F (0.139, 0.691, 0.985)
F (0.227, 0.722, 0.657)
F (0.151, 0.730, 0.322)

Output
Calculated density: 6.3 g/cm³
Fermi-level density of states: 0.00 states/eV/f.u.
VASP energy: -67.239 eV per cell

=====

This record from Alexandria via LeMat-Bulk describes crystalline HgHOF2 at its relaxed geometry. The functional is PBE-GGA.

a b c (Å): 4.472 4.472 4.148
angles (deg): 90.00 90.00 90.00
Site moments in Bohr magnetons follow the coordinates.
Fractional positions:
H (0.500, 0.500, 0.500)  0.33
Hg (0.000, 0.000, 0.000)  0.08
O (0.000, 0.000, 0.500)  0.65
F (0.000, 0.500, 0.000)  0.04
F (0.500, 0.000, 0.000)  0.04

Output
Calculated density: 5.1 g/cm³
Fermi-level density of states: 4.81 states/eV/f.u.
Relative energy among the computed polymorphs: 429.4 meV per atom
VASP energy: -11.647 eV per cell

=====

This record from Alexandria via LeMat-Bulk describes crystalline HgHO2F at its relaxed geometry. The functional is PBE-GGA.

a b c (Å): 4.234 4.234 4.536
angles (deg): 90.00 90.00 90.00
Site moments in Bohr magnetons follow the coordinates.
Fractional positions:
H (0.500, 0.500, 0.500)  0.33
Hg (0.000, 0.000, 0.000)  0.10
O (0.000, 0.500, 0.000)  0.69
O (0.500, 0.000, 0.000)  0.69
F (0.000, 0.000, 0.500)  0.05

Output
Calculated density: 5.2 g/cm³
Fermi-level density of states: 7.45 states/eV/f.u.
VASP energy: -11.652 eV per cell

=====

This record from Alexandria via LeMat-Bulk describes crystalline HgH6O2F2 at its relaxed geometry. The functional is PBE-GGA.

a b c (Å): 4.351 7.011 5.133
angles (deg): 115.71 90.00 71.94
Fractional positions:
Hg (0.500, 0.000, 0.500)
H (0.394, 0.607, 0.811)
H (0.001, 0.393, 0.189)
H (0.188, 0.624, 0.548)
H (0.999, 0.607, 0.811)
H (0.812, 0.376, 0.452)
H (0.606, 0.393, 0.189)
O (0.162, 0.676, 0.772)
O (0.838, 0.324, 0.228)
F (0.753, 0.494, 0.774)
F (0.247, 0.506, 0.226)

Output
Calculated density: 3.5 g/cm³
Fermi-level density of states: 0.00 states/eV/f.u.
VASP energy: -46.850 eV per cell

=====

Q: The highest Fermi-level density of states belongs to which entry?
A: HgHO2F

=====

Copy entry 2 word for word.
This record from Alexandria via LeMat-Bulk describes crystalline HgHOF2 at its relaxed geometry. The functional is PBE-GGA.

a b c (Å): 4.472 4.472 4.148
angles (deg): 90.00 90.00 90.00
Site moments in Bohr magnetons follow the coordinates.
Fractional positions:
H (0.500, 0.500, 0.500)  0.33
Hg (0.000, 0.000, 0.000)  0.08
O (0.000, 0.000, 0.500)  0.65
F (0.000, 0.500, 0.000)  0.04
F (0.500, 0.000, 0.000)  0.04

Output
Calculated density: 5.1 g/cm³
Fermi-level density of states: 4.81 states/eV/f.u.
Relative energy among the computed polymorphs: 429.4 meV per atom
VASP energy: -11.647 eV per cell

=====

Copy entry 4 word for word.
This record from Alexandria via LeMat-Bulk describes crystalline HgH6O2F2 at its relaxed geometry. The functional is PBE-GGA.

a b c (Å): 4.351 7.011 5.133
angles (deg): 115.71 90.00 71.94
Fractional positions:
Hg (0.500, 0.000, 0.500)
H (0.394, 0.607, 0.811)
H (0.001, 0.393, 0.189)
H (0.188, 0.624, 0.548)
H (0.999, 0.607, 0.811)
H (0.812, 0.376, 0.452)
H (0.606, 0.393, 0.189)
O (0.162, 0.676, 0.772)
O (0.838, 0.324, 0.228)
F (0.753, 0.494, 0.774)
F (0.247, 0.506, 0.226)

Output
Calculated density: 3.5 g/cm³
Fermi-level density of states: 0.00 states/eV/f.u.
VASP energy: -46.850 eV per cell